The following is a DFT calculation (GGA-PBE) of a relaxed BaZn2CuRh crystal.

Results
**Fermi-level density of states**: 2.59 states/eV per cell
**Formation energy from the elements**: -166.6 meV/atom
**SG**: No. 123
**Spin magnetization**: 0.0 Bohr magnetons per cell

POSCAR file:
```
BaZn2CuRh
1.0
4.865 0.000 0.000
0.000 4.865 0.000
0.000 0.000 4.979
Ba Zn Cu Rh
1 2 1 1
direct
0.000 0.000 0.000
0.000 0.500 0.500
0.500 0.000 0.500
0.500 0.500 0.000
0.500 0.500 0.500
```